The following is a DFT calculation (PBE) of crystalline RuSe5 at its relaxed geometry.

Results
Its space group is Amm2, No. 38. The energy relative to the lowest polymorph listed for this composition comes out at 8.4 meV per atom.

Unit cell a=6.828 b=6.828 c=5.302 alpha=90.00 beta=90.00 gamma=148.50
Sites, in units of the cell vectors:
Ru 0.056 0.944 0.000
Se 0.744 0.256 0.500
Se 0.679 0.321 0.000
Se 0.393 0.607 0.500
Se 0.424 0.576 0.000
Se 0.037 0.963 0.500

***

The following is a DFT calculation (PBE) of crystalline RuSe2 at its relaxed geometry.

Results
Its space group is Cm, No. 8.

Unit cell a=6.146 b=3.437 c=12.513 alpha=90.00 beta=100.90 gamma=90.00
Sites, in units of the cell vectors:
Ru 0.934 0.000 0.715
Ru 0.934 0.500 0.215
Ru 0.337 0.000 0.179
Ru 0.337 0.500 0.679
Se 0.525 0.000 0.591
Se 0.525 0.500 0.091
Se 0.961 0.000 0.072
Se 0.961 0.500 0.572
Se 0.173 0.000 0.337
Se 0.173 0.500 0.837
Se 0.712 0.000 0.304
Se 0.712 0.500 0.804

***

The following is a DFT calculation (PBE) of crystalline RuSe5 at its relaxed geometry.

Results
Its space group is Cm, No. 8. The energy relative to the lowest polymorph listed for this composition comes out at 0.0 meV per atom.

Unit cell a=7.452 b=7.452 c=7.820 alpha=57.02 beta=57.02 gamma=27.64
Sites, in units of the cell vectors:
Ru 0.978 0.978 0.998
Se 0.625 0.625 0.764
Se 0.376 0.376 0.264
Se 0.455 0.455 0.792
Se 0.043 0.043 0.231
Se 0.690 0.690 0.119

***

no.,density of states at the Fermi level (states/eV per atom),formation energy from raw total energies (meV/atom)
1,0.602,10
2,0.291,-165
3,0.055,2